Below is a relaxed structure of Y2NbNi2, with properties calculated at the PBE level.

Calculated total energy (eV/atom): -7.08
Symmetry: P4/mbm (127)

Structure (CIF):
```
data_Y2NbNi2
_chemical_formula_sum 'Y4 Nb2 Ni4'
_symmetry_space_group_name_H-M 'P 1'
_symmetry_Int_Tables_number 1
_cell_length_a 6.687
_cell_length_b 6.687
_cell_length_c 4.422
_cell_angle_alpha 90.00
_cell_angle_beta 90.00
_cell_angle_gamma 90.00
loop_
_symmetry_equiv_pos_as_xyz
'x,y,z'
loop_
_atom_site_label
_atom_site_type_symbol
_atom_site_fract_x
_atom_site_fract_y
_atom_site_fract_z
_atom_site_occupancy
Y1 Y 0.176 0.324 0.000 1
Y2 Y 0.324 0.824 0.000 1
Y3 Y 0.676 0.176 0.000 1
Y4 Y 0.824 0.676 0.000 1
Nb1 Nb 0.000 0.000 0.500 1
Nb2 Nb 0.500 0.500 0.500 1
Ni1 Ni 0.132 0.632 0.500 1
Ni2 Ni 0.368 0.132 0.500 1
Ni3 Ni 0.632 0.868 0.500 1
Ni4 Ni 0.868 0.368 0.500 1
```

---

Below is a relaxed structure of LaPrPSe, with properties calculated at the PBE level.

Energy relative to the elements, uncorrected (eV/atom): -1.737
Symmetry: R3m (160)

Structure (CIF):
```
data_LaPrPSe
_chemical_formula_sum 'La3 Pr3 P3 Se3'
_symmetry_space_group_name_H-M 'P 1'
_symmetry_Int_Tables_number 1
_cell_length_a 4.179
_cell_length_b 4.179
_cell_length_c 22.103
_cell_angle_alpha 90.00
_cell_angle_beta 90.00
_cell_angle_gamma 120.00
loop_
_symmetry_equiv_pos_as_xyz
'x,y,z'
loop_
_atom_site_label
_atom_site_type_symbol
_atom_site_fract_x
_atom_site_fract_y
_atom_site_fract_z
_atom_site_occupancy
La1 La 0.000 0.000 0.000 1
La2 La 0.333 0.667 0.667 1
La3 La 0.667 0.333 0.333 1
Pr1 Pr 0.000 0.000 0.183 1
Pr2 Pr 0.333 0.667 0.850 1
Pr3 Pr 0.667 0.333 0.517 1
P1 P 0.000 0.000 0.592 1
P2 P 0.333 0.667 0.259 1
P3 P 0.667 0.333 0.925 1
Se1 Se 0.000 0.000 0.425 1
Se2 Se 0.333 0.667 0.091 1
Se3 Se 0.667 0.333 0.758 1
```